Arrangement P

This record from Alexandria via LeMat-Bulk describes a relaxed structure of SrLi3Ge. The functional is PBE.

Output
As for the magnetization: 0.0000 μB per atom.

Lattice parameters (Å, degrees): 4.944 4.944 4.944 90.00 90.00 90.00
Space group Pm-3m (No. 221)
One atom of each set of equivalent atoms:
1 Sr 0.000 0.000 0.000 [1 per cell]
2 Li 0.000 0.500 0.500 [3 per cell]
3 Ge 0.500 0.500 0.500 [1 per cell]

***

Arrangement Q

This record from Alexandria via LeMat-Bulk describes a relaxed structure of SrLi3Ge. The functional is PBE.

Output
As for the magnetization: 0.0000 μB per atom.

Lattice parameters (Å, degrees): 5.413 5.413 5.413 90.00 90.00 90.00
Space group Pm-3m (No. 221)
One atom of each set of equivalent atoms:
1 Sr 0.000 0.000 0.000 [1 per cell]
2 Li 0.000 0.000 0.500 [3 per cell]
3 Ge 0.500 0.500 0.500 [1 per cell]

***

If we sort the structures by their calculated energies, the order from most to least stable is arrangement P, arrangement Q.

***

Arrangement P

This record from Alexandria via LeMat-Bulk describes a relaxed structure of Li2TaGe2. The functional is PBE.

Output
As for the magnetization: 0.0000 μB per atom.

Lattice parameters (Å, degrees): 7.333 7.333 2.903 90.00 90.00 90.00
Space group P4/mbm (No. 127)
One atom of each set of equivalent atoms:
1 Li 0.129 0.371 0.000 [4 per cell]
2 Ta 0.000 0.000 0.500 [2 per cell]
3 Ge 0.170 0.670 0.500 [4 per cell]

***

Arrangement Q

This record from Alexandria via LeMat-Bulk describes a relaxed structure of Li2TaGe2. The functional is PBE.

Output
As for the magnetization: 0.0000 μB per atom.

Lattice parameters (Å, degrees): 4.271 4.271 8.085 90.00 90.00 90.00
Space group I4/mmm (No. 139)
One atom of each set of equivalent atoms:
1 Li 0.000 0.000 0.124 [4 per cell]
2 Ta 0.000 0.000 0.500 [2 per cell]
3 Ge 0.000 0.500 0.250 [4 per cell]

***

Arrangement R

This record from Alexandria via LeMat-Bulk describes a relaxed structure of Li2TaGe2. The functional is PBE.

Output
As for the magnetization: 0.0000 μB per atom.

Lattice parameters (Å, degrees): 7.248 7.248 2.820 90.00 90.00 90.00
Space group P4/mbm (No. 127)
One atom of each set of equivalent atoms:
1 Li 0.113 0.387 0.000 [4 per cell]
2 Ta 0.000 0.000 0.000 [2 per cell]
3 Ge 0.183 0.683 0.500 [4 per cell]

***

If we sort the structures by their calculated energies, the order from most to least stable is arrangement P, arrangement R, arrangement Q.

***

Arrangement P

This record from Alexandria via LeMat-Bulk describes a relaxed structure of LiTaGe2. The functional is PBE.

Output
As for the magnetization: 0.0000 μB per atom.

Lattice parameters (Å, degrees): 6.824 6.824 5.689 90.00 90.00 90.00
Space group I-42d (No. 122)
One atom of each set of equivalent atoms:
1 Li 0.000 0.000 0.000 [4 per cell]
2 Ta 0.000 0.000 0.500 [4 per cell]
3 Ge 0.223 0.250 0.125 [8 per cell]

***

Arrangement Q

This record from Alexandria via LeMat-Bulk describes a relaxed structure of LiTaGe2. The functional is PBE.

Output
As for the magnetization: 0.0000 μB per atom.

Lattice parameters (Å, degrees): 3.0054 3.0054 26.2824 90.00 90.00 120.00
Space group R-3m (No. 166, hexagonal axes)
One atom of each set of equivalent atoms:
1 Li 0.0000 0.0000 0.0000 [3 per cell]
2 Ta 0.0000 0.0000 0.5000 [3 per cell]
3 Ge 0.0000 0.0000 0.2507 [6 per cell]

***

Arrangement R

This record from Alexandria via LeMat-Bulk describes a relaxed structure of LiTaGe2. The functional is PBE.

Output
As for the magnetization: 0.0000 μB per atom.

Lattice parameters (Å, degrees): 6.430 6.430 6.430 90.00 90.00 90.00
Space group Fm-3m (No. 225)
One atom of each set of equivalent atoms:
1 Li 0.000 0.000 0.000 [4 per cell]
2 Ta 0.000 0.000 0.500 [4 per cell]
3 Ge 0.250 0.250 0.250 [8 per cell]

***

Arrangement S

This record from Alexandria via LeMat-Bulk describes a relaxed structure of LiTaGe2. The functional is PBE.

Output
As for the magnetization: 0.0001 μB per atom.

Lattice parameters (Å, degrees): 3.336 3.336 5.775 90.00 90.00 90.00
Space group P4/mmm (No. 123)
One atom of each set of equivalent atoms:
1 Li 0.000 0.000 0.000 [1 per cell]
2 Ta 0.000 0.000 0.500 [1 per cell]
3 Ge 0.500 0.500 0.245 [2 per cell]

***

If we sort the structures by their calculated energies, the order from most to least stable is arrangement Q, arrangement S, arrangement R, arrangement P.

***

Arrangement P

This record from Alexandria via LeMat-Bulk describes a relaxed structure of LiTc3Ge. The functional is PBE.

Output
As for the magnetization: 0.7224 μB per atom.

Lattice parameters (Å, degrees): 4.616 4.616 4.616 90.00 90.00 90.00
Space group Pm-3m (No. 221)
One atom of each set of equivalent atoms:
1 Li 0.000 0.000 0.000 [1 per cell]
2 Tc 0.000 0.500 0.500 [3 per cell]
3 Ge 0.500 0.500 0.500 [1 per cell]

***

Arrangement Q

This record from Alexandria via LeMat-Bulk describes a relaxed structure of LiTc3Ge. The functional is PBE.

Output
As for the magnetization: 0.0179 μB per atom.

Lattice parameters (Å, degrees): 4.139 4.139 4.139 90.00 90.00 90.00
Space group Pm-3m (No. 221)
One atom of each set of equivalent atoms:
1 Li 0.000 0.000 0.000 [1 per cell]
2 Tc 0.000 0.000 0.500 [3 per cell]
3 Ge 0.500 0.500 0.500 [1 per cell]

***

If we sort the structures by their calculated energies, the order from most to least stable is arrangement Q, arrangement P.

***

Arrangement P

This record from Alexandria via LeMat-Bulk describes a relaxed structure of Li3TcGe. The functional is PBE.

Output
As for the magnetization: 0.0000 μB per atom.

Lattice parameters (Å, degrees): 4.395 4.395 4.395 90.00 90.00 90.00
Space group Pm-3m (No. 221)
One atom of each set of equivalent atoms:
1 Li 0.000 0.000 0.500 [3 per cell]
2 Tc 0.500 0.500 0.500 [1 per cell]
3 Ge 0.000 0.000 0.000 [1 per cell]

***

Arrangement Q

This record from Alexandria via LeMat-Bulk describes a relaxed structure of Li3TcGe. The functional is PBE.

Output
As for the magnetization: 0.3983 μB per atom.

Lattice parameters (Å, degrees): 4.715 4.715 4.715 90.00 90.00 90.00
Space group Pm-3m (No. 221)
One atom of each set of equivalent atoms:
1 Li 0.000 0.000 0.500 [3 per cell]
2 Tc 0.000 0.000 0.000 [1 per cell]
3 Ge 0.500 0.500 0.500 [1 per cell]

***

If we sort the structures by their calculated energies, the order from most to least stable is arrangement P, arrangement Q.

***

Arrangement P

This record from Alexandria via LeMat-Bulk describes a relaxed structure of Li2TcGe2. The functional is PBE.

Output
As for the magnetization: 0.1850 μB per atom.

Lattice parameters (Å, degrees): 6.757 6.757 3.185 90.00 90.00 90.00
Space group P4/mbm (No. 127)
One atom of each set of equivalent atoms:
1 Li 0.155 0.345 0.000 [4 per cell]
2 Tc 0.000 0.000 0.500 [2 per cell]
3 Ge 0.148 0.648 0.500 [4 per cell]

***

Arrangement Q

This record from Alexandria via LeMat-Bulk describes a relaxed structure of Li2TcGe2. The functional is PBE.

Output
As for the magnetization: 0.0000 μB per atom.

Lattice parameters (Å, degrees): 8.884 6.773 5.390 90.00 90.14 90.00
Space group P2_1/c (No. 14)
One atom of each set of equivalent atoms:
1 Li 0.023 0.247 0.002 [4 per cell]
2 Li 0.251 0.596 0.749 [4 per cell]
3 Tc 0.356 0.250 0.499 [4 per cell]
4 Ge 0.172 0.501 0.248 [4 per cell]
5 Ge 0.447 0.564 0.250 [4 per cell]

***

If we sort the structures by their calculated energies, the order from most to least stable is arrangement Q, arrangement P.

***

Arrangement P

This record from Alexandria via LeMat-Bulk describes a relaxed structure of LiGe2Te3. The functional is PBE.

Output
As for the magnetization: 0.0000 μB per atom.

Lattice parameters (Å, degrees): 9.146 5.653 12.683 90.00 90.00 90.00
Space group Pnma (No. 62)
One atom of each set of equivalent atoms:
1 Li 0.153 0.250 0.097 [4 per cell]
2 Ge 0.180 0.250 0.421 [4 per cell]
3 Ge 0.189 0.250 0.748 [4 per cell]
4 Te 0.111 0.750 0.412 [4 per cell]
5 Te 0.120 0.750 0.759 [4 per cell]
6 Te 0.121 0.750 0.082 [4 per cell]

***

Arrangement Q

This record from Alexandria via LeMat-Bulk describes a relaxed structure of LiGe2Te3. The functional is PBE.

Output
As for the magnetization: 0.0000 μB per atom.

Lattice parameters (Å, degrees): 4.132 5.845 12.788 90.00 90.00 90.00
Space group Immm (No. 71)
One atom of each set of equivalent atoms:
1 Li 0.000 0.000 0.000 [2 per cell]
2 Ge 0.000 0.000 0.330 [4 per cell]
3 Te 0.000 0.500 0.000 [2 per cell]
4 Te 0.000 0.500 0.331 [4 per cell]

***

If we sort the structures by their calculated energies, the order from most to least stable is arrangement P, arrangement Q.

***

Arrangement P

This record from Alexandria via LeMat-Bulk describes a relaxed structure of LiThGe2. The functional is PBE.

Output
As for the magnetization: 0.0000 μB per atom.

Lattice parameters (Å, degrees): 7.959 3.979 10.577 90.00 90.00 90.00
Space group Pnma (No. 62)
One atom of each set of equivalent atoms:
1 Li 0.018 0.250 0.099 [4 per cell]
2 Th 0.132 0.750 0.360 [4 per cell]
3 Ge 0.157 0.750 0.694 [4 per cell]
4 Ge 0.233 0.750 0.061 [4 per cell]

***

Arrangement Q

This record from Alexandria via LeMat-Bulk describes a relaxed structure of LiThGe2. The functional is PBE.

Output
As for the magnetization: 0.0000 μB per atom.

Lattice parameters (Å, degrees): 4.3399 4.3399 15.3568 90.00 90.00 120.00
Space group R-3m (No. 166, hexagonal axes)
One atom of each set of equivalent atoms:
1 Li 0.0000 0.0000 0.0000 [3 per cell]
2 Th 0.0000 0.0000 0.5000 [3 per cell]
3 Ge 0.0000 0.0000 0.2806 [6 per cell]

***

Arrangement R

This record from Alexandria via LeMat-Bulk describes a relaxed structure of LiThGe2. The functional is PBE.

Output
As for the magnetization: 0.0000 μB per atom.

Lattice parameters (Å, degrees): 4.514 4.514 4.220 90.00 90.00 90.00
Space group P4/mmm (No. 123)
One atom of each set of equivalent atoms:
1 Li 0.000 0.000 0.000 [1 per cell]
2 Th 0.500 0.500 0.000 [1 per cell]
3 Ge 0.000 0.500 0.500 [2 per cell]

***

Arrangement S

This record from Alexandria via LeMat-Bulk describes a relaxed structure of LiThGe2. The functional is PBE.

Output
As for the magnetization: 0.0000 μB per atom.

Lattice parameters (Å, degrees): 3.470 3.470 6.736 90.00 90.00 90.00
Space group P4/mmm (No. 123)
One atom of each set of equivalent atoms:
1 Li 0.000 0.000 0.000 [1 per cell]
2 Th 0.000 0.000 0.500 [1 per cell]
3 Ge 0.500 0.500 0.198 [2 per cell]

***

If we sort the structures by their calculated energies, the order from most to least stable is arrangement P, arrangement R, arrangement Q, arrangement S.

***

Arrangement P

This record from Alexandria via LeMat-Bulk describes a relaxed structure of Li2Ti2Ge. The functional is PBE.

Output
As for the magnetization: 0.0000 μB per atom.

Lattice parameters (Å, degrees): 6.006 6.006 4.134 90.00 90.00 90.00
Space group P4/mbm (No. 127)
One atom of each set of equivalent atoms:
1 Li 0.128 0.372 0.000 [4 per cell]
2 Ti 0.180 0.680 0.500 [4 per cell]
3 Ge 0.000 0.000 0.000 [2 per cell]

***

Arrangement Q

This record from Alexandria via LeMat-Bulk describes a relaxed structure of Li2Ti2Ge. The functional is PBE.

Output
As for the magnetization: 0.0000 μB per atom.

Lattice parameters (Å, degrees): 3.831 3.831 10.774 90.00 90.00 90.00
Space group I4/mmm (No. 139)
One atom of each set of equivalent atoms:
1 Li 0.000 0.000 0.084 [4 per cell]
2 Ti 0.000 0.500 0.250 [4 per cell]
3 Ge 0.000 0.000 0.500 [2 per cell]

***

If we sort the structures by their calculated energies, the order from most to least stable is arrangement P, arrangement Q.

***

Arrangement P

This record from Alexandria via LeMat-Bulk describes a relaxed structure of LiTl2Ge2. The functional is PBE.

Output
As for the magnetization: 0.0000 μB per atom.

Lattice parameters (Å, degrees): 4.621 4.621 12.890 90.00 90.00 90.00
Space group I4/mmm (No. 139)
One atom of each set of equivalent atoms:
1 Li 0.000 0.000 0.000 [2 per cell]
2 Tl 0.000 0.500 0.250 [4 per cell]
3 Ge 0.000 0.000 0.407 [4 per cell]

***

Arrangement Q

This record from Alexandria via LeMat-Bulk describes a relaxed structure of LiTl2Ge2. The functional is PBE.

Output
As for the magnetization: 0.0000 μB per atom.

Lattice parameters (Å, degrees): 7.337 7.337 4.485 90.00 90.00 90.00
Space group P4/mbm (No. 127)
One atom of each set of equivalent atoms:
1 Li 0.000 0.000 0.000 [2 per cell]
2 Tl 0.180 0.320 0.500 [4 per cell]
3 Ge 0.123 0.623 0.000 [4 per cell]

***

If we sort the structures by their calculated energies, the order from most to least stable is arrangement Q, arrangement P.